No. 1
Computed, not measured: crystalline ReSi2P at its relaxed geometry at the GGA-PBE level of DFT.

Structure (CIF):
```
data_ReSi2P
_chemical_formula_sum 'Re2 Si4 P2'
_space_group_name_H-M_alt 'C 1 2/m 1'
_space_group_IT_number 12
_cell_length_a 8.412
_cell_length_b 3.064
_cell_length_c 4.288
_cell_angle_alpha 90.00
_cell_angle_beta 94.63
_cell_angle_gamma 90.00
loop_
_space_group_symop_operation_xyz
'x,y,z'
'-x,-y,-z'
'-x,y,-z'
'x,-y,z'
'x+1/2,y+1/2,z'
'-x+1/2,-y+1/2,-z'
'-x+1/2,y+1/2,-z'
'x+1/2,-y+1/2,z'
loop_
_atom_site_label
_atom_site_type_symbol
_atom_site_fract_x
_atom_site_fract_y
_atom_site_fract_z
Re1 Re 0.000 0.000 0.000
Si1 Si 0.231 0.500 0.237
P1 P 0.000 0.500 0.500
```

Properties
The calculation puts the volume at 13.8 Å³ per atom. Its uncorrected formation energy is 0.1784 eV per atom. Its density of states at the Fermi level is 1.67 states/eV/f.u.

No. 2
Computed, not measured: crystalline ReSiP3 at its relaxed geometry at the GGA-PBE level of DFT.

Structure (CIF):
```
data_ReSiP3
_chemical_formula_sum 'Re1 Si1 P3'
_space_group_name_H-M_alt 'P m -3 m'
_space_group_IT_number 221
_space_group_name_Hall '-P 4 2 3'
_cell_length_a 4.637
_cell_length_b 4.637
_cell_length_c 4.637
_cell_angle_alpha 90.00
_cell_angle_beta 90.00
_cell_angle_gamma 90.00
loop_
_atom_site_label
_atom_site_type_symbol
_atom_site_fract_x
_atom_site_fract_y
_atom_site_fract_z
Re1 Re 0.000 0.000 0.000
Si1 Si 0.500 0.500 0.500
P1 P 0.000 0.000 0.500
```

Properties
For the energy above the lowest structure with this stoichiometry, the calculation gives 0.000 eV per formula unit. The calculation puts the volume at 19.9 Å³ per atom. Its uncorrected formation energy is 0.9000 eV per atom. Its density of states at the Fermi level is 5.40 states/eV/f.u.

No. 3
Computed, not measured: crystalline Re2SiP4 at its relaxed geometry at the GGA-PBE level of DFT.

Structure (CIF):
```
data_Re2SiP4
_chemical_formula_sum 'Re4 Si2 P8'
_space_group_name_H-M_alt 'P 42/m n m'
_space_group_IT_number 136
_space_group_name_Hall '-P 4n 2n'
_cell_length_a 8.351
_cell_length_b 8.351
_cell_length_c 3.128
_cell_angle_alpha 90.00
_cell_angle_beta 90.00
_cell_angle_gamma 90.00
loop_
_atom_site_label
_atom_site_type_symbol
_atom_site_fract_x
_atom_site_fract_y
_atom_site_fract_z
Re1 Re 0.177 0.177 0.000
Si1 Si 0.000 0.000 0.500
P1 P 0.096 0.719 0.000
```

Properties
The calculation puts the volume at 15.6 Å³ per atom. Its uncorrected formation energy is 0.0531 eV per atom. Its density of states at the Fermi level is 3.19 states/eV/f.u.

No. 4
Computed, not measured: crystalline ReSi2P at its relaxed geometry at the GGA-PBE level of DFT.

Structure (CIF):
```
data_ReSi2P
_chemical_formula_sum 'Re2 Si4 P2'
_space_group_name_H-M_alt 'C m m m'
_space_group_IT_number 65
_space_group_name_Hall '-C 2 2'
_cell_length_a 5.016
_cell_length_b 7.174
_cell_length_c 2.974
_cell_angle_alpha 90.00
_cell_angle_beta 90.00
_cell_angle_gamma 90.00
loop_
_atom_site_label
_atom_site_type_symbol
_atom_site_fract_x
_atom_site_fract_y
_atom_site_fract_z
Re1 Re 0.000 0.000 0.000
Si1 Si 0.250 0.250 0.500
P1 P 0.000 0.500 0.000
```

Properties
The calculation puts the volume at 13.4 Å³ per atom. Its uncorrected formation energy is 0.2866 eV per atom. Its density of states at the Fermi level is 1.92 states/eV/f.u.

No. 5
Computed, not measured: crystalline ReSiP at its relaxed geometry at the GGA-PBE level of DFT.

Structure (CIF):
```
data_ReSiP
_chemical_formula_sum 'Re1 Si1 P1'
_space_group_name_H-M_alt 'P 3 m 1'
_space_group_IT_number 156
_cell_length_a 3.0419
_cell_length_b 3.0419
_cell_length_c 5.3119
_cell_angle_alpha 90.00
_cell_angle_beta 90.00
_cell_angle_gamma 120.00
loop_
_space_group_symop_operation_xyz
'x,y,z'
'-y,x-y,z'
'-x+y,-x,z'
'-y,-x,z'
'-x+y,y,z'
'x,x-y,z'
loop_
_atom_site_label
_atom_site_type_symbol
_atom_site_fract_x
_atom_site_fract_y
_atom_site_fract_z
Re1 Re 0.0000 0.0000 0.0000
Si1 Si 0.6667 0.3333 0.3412
P1 P 0.3333 0.6667 0.6859
```

Properties
For the energy above the lowest structure with this stoichiometry, the calculation gives 0.123 eV per formula unit. The calculation puts the volume at 14.2 Å³ per atom. Its uncorrected formation energy is -0.1204 eV per atom. Its density of states at the Fermi level is 1.33 states/eV/f.u.

No. 6
Computed, not measured: crystalline ReSi2P at its relaxed geometry at the GGA-PBE level of DFT.

Structure (CIF):
```
data_ReSi2P
_chemical_formula_sum 'Re2 Si4 P2'
_space_group_name_H-M_alt 'C m m m'
_space_group_IT_number 65
_space_group_name_Hall '-C 2 2'
_cell_length_a 3.124
_cell_length_b 4.932
_cell_length_c 7.501
_cell_angle_alpha 90.00
_cell_angle_beta 90.00
_cell_angle_gamma 90.00
loop_
_atom_site_label
_atom_site_type_symbol
_atom_site_fract_x
_atom_site_fract_y
_atom_site_fract_z
Re1 Re 0.000 0.000 0.000
Si1 Si 0.000 0.500 0.255
P1 P 0.000 0.000 0.500
```

Properties
The calculation puts the volume at 14.4 Å³ per atom. Its uncorrected formation energy is 0.4139 eV per atom. Its density of states at the Fermi level is 2.81 states/eV/f.u.

No. 7
Computed, not measured: crystalline ReSiP at its relaxed geometry at the GGA-PBE level of DFT.

Structure (CIF):
```
data_ReSiP
_chemical_formula_sum 'Re4 Si4 P4'
_space_group_name_H-M_alt 'F -4 3 m'
_space_group_IT_number 216
_space_group_name_Hall 'F -4 2 3'
_cell_length_a 5.769
_cell_length_b 5.769
_cell_length_c 5.769
_cell_angle_alpha 90.00
_cell_angle_beta 90.00
_cell_angle_gamma 90.00
loop_
_atom_site_label
_atom_site_type_symbol
_atom_site_fract_x
_atom_site_fract_y
_atom_site_fract_z
Re1 Re 0.000 0.000 0.000
Si1 Si 0.250 0.250 0.250
P1 P 0.250 0.250 0.750
```

Properties
For the energy above the lowest structure with this stoichiometry, the calculation gives 1.244 eV per formula unit. The calculation puts the volume at 16.0 Å³ per atom. Its uncorrected formation energy is 0.2534 eV per atom. Its density of states at the Fermi level is 3.16 states/eV/f.u.

No. 8
Computed, not measured: crystalline ReSi2P at its relaxed geometry at the GGA-PBE level of DFT.

Structure (CIF):
```
data_ReSi2P
_chemical_formula_sum 'Re1 Si2 P1'
_space_group_name_H-M_alt 'P 4/m m m'
_space_group_IT_number 123
_space_group_name_Hall '-P 4 2'
_cell_length_a 4.235
_cell_length_b 4.235
_cell_length_c 3.127
_cell_angle_alpha 90.00
_cell_angle_beta 90.00
_cell_angle_gamma 90.00
loop_
_atom_site_label
_atom_site_type_symbol
_atom_site_fract_x
_atom_site_fract_y
_atom_site_fract_z
Re1 Re 0.000 0.000 0.000
Si1 Si 0.000 0.500 0.500
P1 P 0.500 0.500 0.000
```

Properties
The calculation puts the volume at 14.0 Å³ per atom. Its uncorrected formation energy is 0.4683 eV per atom. Its density of states at the Fermi level is 2.82 states/eV/f.u.

volume of number 2 (ReSiP3)?
19.9 Å³ per atom

Look up the volume of the fifth one.
14.2 Å³ per atom